Record 1
# Cr2TcPd PBE optimized geometry
data_Cr2TcPd
_chemical_formula_sum 'Cr8 Tc4 Pd4'
_symmetry_space_group_name_H-M 'I -4 2 d'
_symmetry_Int_Tables_number 122
_symmetry_space_group_name_Hall 'I -4 2bw'
_cell_length_a 6.665
_cell_length_b 6.665
_cell_length_c 5.274
_cell_angle_alpha 90.00
_cell_angle_beta 90.00
_cell_angle_gamma 90.00
loop_
_atom_site_label
_atom_site_type_symbol
_atom_site_fract_x
_atom_site_fract_y
_atom_site_fract_z
Cr1 Cr 0.229 0.750 0.125
Tc1 Tc 0.000 0.000 0.000
Pd1 Pd 0.000 0.000 0.500
# * formation enthalpy at 0 K: 719 meV per atom
# * total magnetization: 0.00 μB per formula unit
# * D(E_F): 1.6050 states/eV per atom

Record 2
# ZrZnO3 PBE optimized geometry
data_ZrZnO3
_chemical_formula_sum 'Zr6 Zn6 O18'
_symmetry_space_group_name_H-M 'R -3'
_symmetry_Int_Tables_number 148
_symmetry_space_group_name_Hall '-R 3'
_cell_length_a 5.4320
_cell_length_b 5.4320
_cell_length_c 14.2632
_cell_angle_alpha 90.00
_cell_angle_beta 90.00
_cell_angle_gamma 120.00
loop_
_atom_site_label
_atom_site_type_symbol
_atom_site_fract_x
_atom_site_fract_y
_atom_site_fract_z
Zr1 Zr 0.0000 0.0000 0.1435
Zn1 Zn 0.0000 0.0000 0.3613
O1 O 0.0040 0.3042 0.7519
# * total magnetization: 0.00 μB per formula unit
# * D(E_F): 0.0000 states/eV per atom
# * ΔE_f (raw): -2458 meV per atom